No. 1
A geometry-optimized MnSI2O structure. Source: Alexandria, functional GGA+U. Values from VASP.

Total magnetization, μB/f.u.: 3.70
ΔE to the lowest computed polymorph, eV/atom: 0.000

Structure (Quantum ESPRESSO input):
```
&SYSTEM
  ibrav = 0, nat = 5, ntyp = 4
/
ATOMIC_SPECIES
Mn 54.94 Mn.upf
S 32.06 S.upf
I 126.90 I.upf
O 16.00 O.upf
CELL_PARAMETERS angstrom
5.739 0.000 0.000
0.000 5.739 0.000
0.000 0.000 3.661
ATOMIC_POSITIONS angstrom
Mn 0.000 0.000 0.000
S 2.870 2.870 1.830
I 0.000 2.870 0.000
I 2.870 0.000 0.000
O 0.000 0.000 1.830
```

***

No. 2
A geometry-optimized Mn3Sb5I3O9 structure. Source: Alexandria, functional GGA+U. Values from VASP.

Total magnetization, μB/f.u.: 14.99

Structure (Quantum ESPRESSO input):
```
&SYSTEM
  ibrav = 0, nat = 40, ntyp = 4
/
ATOMIC_SPECIES
Mn 54.94 Mn.upf
Sb 121.76 Sb.upf
I 126.90 I.upf
O 16.00 O.upf
CELL_PARAMETERS angstrom
8.336 0.000 0.000
2.296 8.954 0.000
0.737 2.078 12.547
ATOMIC_POSITIONS angstrom
Mn 1.361 4.493 1.586
Mn 4.017 5.933 8.218
Mn 4.792 5.620 11.724
Mn 6.577 5.412 0.824
Mn 7.352 5.099 4.329
Mn 10.008 6.539 10.962
Sb 1.921 3.944 6.316
Sb 2.410 3.394 9.955
Sb 4.232 8.813 12.423
Sb 3.926 6.259 3.232
Sb 4.677 3.077 2.907
Sb 6.692 7.955 9.641
Sb 7.443 4.773 9.315
Sb 7.137 2.219 0.124
Sb 8.959 7.638 2.592
Sb 9.447 7.087 6.231
I 3.332 8.689 8.762
I 2.529 1.456 0.792
I 4.832 3.115 7.385
I 6.537 7.917 5.162
I 8.840 9.576 11.755
I 8.037 2.343 3.786
O 1.440 3.851 8.236
O 2.310 6.861 1.776
O 2.758 5.804 6.552
O 3.284 7.038 12.332
O 3.242 5.217 10.089
O 3.077 4.399 2.820
O 4.817 6.407 1.397
O 5.870 7.612 11.462
O 5.898 6.251 8.916
O 5.471 4.781 3.631
O 5.499 3.420 1.085
O 6.552 4.625 11.151
O 8.292 6.633 9.727
O 8.127 5.815 2.458
O 8.085 3.994 0.215
O 8.611 5.228 5.995
O 9.059 4.171 10.772
O 9.929 7.181 4.312
```

***

No. 3
A geometry-optimized Mn2Sb3I3O5 structure. Source: Alexandria, functional GGA+U. Values from VASP.

Total magnetization, μB/f.u.: 9.99

Structure (Quantum ESPRESSO input):
```
&SYSTEM
  ibrav = 0, nat = 26, ntyp = 4
/
ATOMIC_SPECIES
Mn 54.94 Mn.upf
Sb 121.76 Sb.upf
I 126.90 I.upf
O 16.00 O.upf
CELL_PARAMETERS angstrom
6.519 0.000 0.000
0.135 10.474 0.000
3.088 2.028 9.814
ATOMIC_POSITIONS angstrom
Mn 1.560 4.422 0.032
Mn 3.862 8.824 7.148
Mn 5.881 3.678 2.667
Mn 8.183 8.081 9.782
Sb 2.516 5.192 3.286
Sb 1.960 7.641 0.705
Sb 2.705 2.116 2.280
Sb 7.038 10.387 7.534
Sb 7.783 4.862 9.110
Sb 7.227 7.311 6.529
I 2.660 9.088 4.419
I 4.148 11.698 7.886
I 3.825 5.816 6.931
I 5.918 6.687 2.883
I 5.595 0.805 1.929
I 7.083 3.414 5.395
O 1.410 3.795 2.219
O 3.979 8.440 9.348
O 2.843 5.909 1.375
O 2.941 2.725 0.366
O 3.840 3.614 3.080
O 5.903 8.889 6.734
O 6.802 9.777 9.449
O 6.900 6.594 8.439
O 5.764 4.062 0.467
O 8.333 8.708 7.595
```

***

No. 4
A geometry-optimized MnSb2IO structure. Source: Alexandria, functional GGA+U. Values from VASP.

Total magnetization, μB/f.u.: 5.08
ΔE to the lowest computed polymorph, eV/atom: 0.000

Structure (Quantum ESPRESSO input):
```
&SYSTEM
  ibrav = 0, nat = 5, ntyp = 4
/
ATOMIC_SPECIES
Mn 54.94 Mn.upf
Sb 121.76 Sb.upf
I 126.90 I.upf
O 16.00 O.upf
CELL_PARAMETERS angstrom
4.484 0.000 0.000
0.000 4.484 0.000
0.000 0.000 6.767
ATOMIC_POSITIONS angstrom
Mn 0.000 0.000 0.000
Sb 0.000 2.242 3.383
Sb 2.242 0.000 3.383
I 2.242 2.242 0.000
O 2.242 2.242 3.383
```

***

No. 5
A geometry-optimized MnSbIO6 structure. Source: Alexandria, functional GGA+U. Values from VASP.

Total magnetization, μB/f.u.: 5.00

Structure (Quantum ESPRESSO input):
```
&SYSTEM
  ibrav = 0, nat = 18, ntyp = 4
/
ATOMIC_SPECIES
Mn 54.94 Mn.upf
Sb 121.76 Sb.upf
I 126.90 I.upf
O 16.00 O.upf
CELL_PARAMETERS angstrom
5.431 0.000 0.000
-2.715 4.703 0.000
0.000 0.000 9.389
ATOMIC_POSITIONS angstrom
Mn 0.000 0.000 0.000
Mn 0.000 0.000 4.694
Sb 0.000 3.135 2.347
Sb 2.715 1.568 7.042
I 0.000 3.135 7.042
I 2.715 1.568 2.347
O -0.895 1.692 1.249
O -1.698 3.082 3.445
O 0.895 1.692 3.445
O -0.803 4.632 1.249
O 1.912 0.071 5.944
O 1.018 1.621 8.139
O 1.698 3.082 1.249
O 0.803 4.632 3.445
O 3.518 0.071 8.139
O 1.821 3.011 5.944
O 4.413 1.621 5.944
O 3.610 3.011 8.139
```

***

No. 6
A geometry-optimized MnSbIO2 structure. Source: Alexandria, functional GGA+U. Values from VASP.

Total magnetization, μB/f.u.: 4.12

Structure (Quantum ESPRESSO input):
```
&SYSTEM
  ibrav = 0, nat = 5, ntyp = 4
/
ATOMIC_SPECIES
Mn 54.94 Mn.upf
Sb 121.76 Sb.upf
I 126.90 I.upf
O 16.00 O.upf
CELL_PARAMETERS angstrom
4.185 0.000 0.000
0.000 4.185 0.000
0.000 0.000 5.456
ATOMIC_POSITIONS angstrom
Mn 0.000 0.000 0.000
Sb 2.093 2.093 2.728
I 0.000 0.000 2.728
O 0.000 2.093 0.000
O 2.093 0.000 0.000
```

***

No. 7
A geometry-optimized MnSb2IO structure. Source: Alexandria, functional GGA+U. Values from VASP.

Total magnetization, μB/f.u.: 4.64
ΔE to the lowest computed polymorph, eV/atom: 0.748

Structure (Quantum ESPRESSO input):
```
&SYSTEM
  ibrav = 0, nat = 5, ntyp = 4
/
ATOMIC_SPECIES
Mn 54.94 Mn.upf
Sb 121.76 Sb.upf
I 126.90 I.upf
O 16.00 O.upf
CELL_PARAMETERS angstrom
5.261 0.000 0.000
0.000 5.261 0.000
0.000 0.000 5.511
ATOMIC_POSITIONS angstrom
Mn 0.000 0.000 0.000
Sb 0.000 2.631 0.000
Sb 2.631 0.000 0.000
I 0.000 0.000 2.755
O 2.631 2.631 2.755
```

***

No. 8
A geometry-optimized MnSbIO2 structure. Source: Alexandria, functional GGA+U. Values from VASP.

Total magnetization, μB/f.u.: 5.06

Structure (Quantum ESPRESSO input):
```
&SYSTEM
  ibrav = 0, nat = 5, ntyp = 4
/
ATOMIC_SPECIES
Mn 54.94 Mn.upf
Sb 121.76 Sb.upf
I 126.90 I.upf
O 16.00 O.upf
CELL_PARAMETERS angstrom
4.145 0.000 0.000
0.000 4.145 0.000
0.000 0.000 6.594
ATOMIC_POSITIONS angstrom
Mn 0.000 0.000 0.000
Sb 2.073 2.073 3.297
I 2.073 2.073 0.000
O 0.000 2.073 3.297
O 2.073 0.000 3.297
```

***

No. 9
A geometry-optimized ScMn2IO6 structure. Source: Alexandria, functional GGA+U. Values from VASP.

Total magnetization, μB/f.u.: 8.05

Structure (Quantum ESPRESSO input):
```
&SYSTEM
  ibrav = 0, nat = 10, ntyp = 4
/
ATOMIC_SPECIES
Sc 44.96 Sc.upf
Mn 54.94 Mn.upf
I 126.90 I.upf
O 16.00 O.upf
CELL_PARAMETERS angstrom
5.382 0.000 0.000
2.661 4.842 0.000
2.356 1.857 4.863
ATOMIC_POSITIONS angstrom
Sc 0.000 0.000 0.000
Mn 2.697 1.566 0.330
Mn 7.792 5.000 3.202
I 5.280 3.301 1.726
O 3.368 3.534 4.210
O 4.330 5.104 1.482
O 5.901 4.933 4.330
O 4.350 1.328 1.555
O 5.896 1.767 4.049
O 7.270 3.584 1.815
```

***

No. 10
A geometry-optimized ScMnIO2 structure. Source: Alexandria, functional GGA+U. Values from VASP.

Total magnetization, μB/f.u.: 4.19
ΔE to the lowest computed polymorph, eV/atom: 0.517

Structure (Quantum ESPRESSO input):
```
&SYSTEM
  ibrav = 0, nat = 5, ntyp = 4
/
ATOMIC_SPECIES
Sc 44.96 Sc.upf
Mn 54.94 Mn.upf
I 126.90 I.upf
O 16.00 O.upf
CELL_PARAMETERS angstrom
4.005 0.000 0.000
0.000 4.005 0.000
0.000 0.000 5.415
ATOMIC_POSITIONS angstrom
Sc 0.000 0.000 0.000
Mn 2.002 2.002 2.708
I 2.002 2.002 0.000
O 0.000 2.002 2.708
O 2.002 0.000 2.708
```

***

No. 11
A geometry-optimized ScMnI2O structure. Source: Alexandria, functional GGA+U. Values from VASP.

Total magnetization, μB/f.u.: 5.83
ΔE to the lowest computed polymorph, eV/atom: 0.000

Structure (Quantum ESPRESSO input):
```
&SYSTEM
  ibrav = 0, nat = 5, ntyp = 4
/
ATOMIC_SPECIES
Sc 44.96 Sc.upf
Mn 54.94 Mn.upf
I 126.90 I.upf
O 16.00 O.upf
CELL_PARAMETERS angstrom
6.015 0.000 0.000
0.000 6.015 0.000
0.000 0.000 3.907
ATOMIC_POSITIONS angstrom
Sc 0.000 0.000 0.000
Mn 3.007 3.007 1.954
I 0.000 3.007 0.000
I 3.007 0.000 0.000
O 0.000 0.000 1.954
```

***

No. 12
A geometry-optimized Sc2MnIO8 structure. Source: Alexandria, functional GGA+U. Values from VASP.

Total magnetization, μB/f.u.: 2.00

Structure (Quantum ESPRESSO input):
```
&SYSTEM
  ibrav = 0, nat = 12, ntyp = 4
/
ATOMIC_SPECIES
Sc 44.96 Sc.upf
Mn 54.94 Mn.upf
I 126.90 I.upf
O 16.00 O.upf
CELL_PARAMETERS angstrom
4.764 0.000 0.000
0.000 6.187 0.000
-0.227 0.000 4.765
ATOMIC_POSITIONS angstrom
Sc 0.000 1.472 0.000
Sc 0.000 4.715 0.000
Mn 2.268 0.000 2.382
I 2.268 3.093 2.382
O 0.947 0.000 0.987
O 0.957 3.093 0.995
O 1.359 1.608 3.242
O 1.359 4.578 3.242
O 3.177 1.608 1.523
O 3.177 4.578 1.523
O 3.580 3.093 3.770
O 3.590 0.000 3.777
```

***

For the records above, the corresponding VASP energy values read -3.841; -5.907; -5.545; -4.329; -5.716; -4.696; -3.580; -4.912; -6.786; -5.789; -5.446; -6.917 eV/atom.